No. 1
Entry from the Alexandria database: a relaxed FeNi12Sn3 crystal (PBE).

POSCAR file:
```
FeNi12Sn3
1.0
3.699 0.000 0.000
0.000 3.699 0.000
0.000 0.000 14.671
Fe Ni Sn
1 12 3
Direct
0.000 0.000 0.000
0.000 0.500 0.113
0.000 0.500 0.372
0.000 0.500 0.628
0.000 0.500 0.887
0.500 0.000 0.113
0.500 0.000 0.372
0.500 0.000 0.628
0.500 0.000 0.887
0.500 0.500 0.000
0.500 0.500 0.244
0.500 0.500 0.500
0.500 0.500 0.756
0.000 0.000 0.243
0.000 0.000 0.500
0.000 0.000 0.757
```

Calculated values
calculated total energy	-5.762	eV per atom
E_form	-3.38	kcal/mol of atoms

No. 2
Entry from the Alexandria database: a relaxed Ac4Sb2PdN2 crystal (PBE).

POSCAR file:
```
Ac4Sb2PdN2
1.0
8.175 -2.232 0.000
8.175 2.232 0.000
-3.865 0.000 7.867
Ac Sb Pd N
4 2 1 2
Direct
0.022 0.022 0.277
0.278 0.278 0.354
0.722 0.722 0.646
0.978 0.978 0.723
0.401 0.401 0.944
0.599 0.599 0.056
0.500 0.500 0.500
0.176 0.176 0.491
0.824 0.824 0.509
```

Calculated values
calculated total energy	-6.137	eV per atom
energy relative to the elements, uncorrected	-0.968	eV per atom

No. 3
Entry from the Alexandria database: a relaxed Li6Mg12Ga crystal (PBE).

POSCAR file:
```
Li6Mg12Ga
1.0
5.191 2.997 4.302
-5.191 2.997 4.302
0.000 -5.994 4.302
Li Mg Ga
6 12 1
Direct
0.239 0.760 0.395
0.240 0.605 0.761
0.395 0.239 0.760
0.605 0.761 0.240
0.760 0.395 0.239
0.761 0.240 0.605
0.027 0.303 0.934
0.066 0.973 0.697
0.131 0.347 0.472
0.303 0.934 0.027
0.347 0.472 0.131
0.472 0.131 0.347
0.528 0.869 0.653
0.653 0.528 0.869
0.697 0.066 0.973
0.869 0.653 0.528
0.934 0.027 0.303
0.973 0.697 0.066
0.500 0.500 0.500
```

Calculated values
calculated total energy	-1.820	eV per atom
relative energy among the computed polymorphs	0	meV/atom
E_form	-1.13	kcal/mol of atoms

No. 4
Entry from the Alexandria database: a relaxed OsRhAu2 crystal (PBE).

POSCAR file:
```
OsRhAu2
1.0
2.773 0.000 0.000
0.000 4.789 0.000
0.000 0.000 9.926
Os Rh Au
2 2 4
Direct
0.000 0.000 0.000
0.500 0.500 0.000
0.000 0.500 0.221
0.500 0.000 0.221
0.000 0.000 0.475
0.000 0.500 0.744
0.500 0.000 0.744
0.500 0.500 0.475
```

Calculated values
calculated total energy	-5.908	eV per atom
relative energy among the computed polymorphs	162	meV/atom
E_form	8.67	kcal/mol of atoms

No. 5
Entry from the Alexandria database: a relaxed LiCoReOs crystal (PBE).

POSCAR file:
```
LiCoReOs
1.0
5.910 0.000 0.000
0.000 5.910 0.000
0.000 0.000 5.910
Li Co Re Os
4 4 4 4
Direct
0.000 0.000 0.000
0.000 0.500 0.500
0.500 0.000 0.500
0.500 0.500 0.000
0.250 0.250 0.250
0.250 0.750 0.750
0.750 0.250 0.750
0.750 0.750 0.250
0.000 0.000 0.500
0.000 0.500 0.000
0.500 0.000 0.000
0.500 0.500 0.500
0.250 0.250 0.750
0.250 0.750 0.250
0.750 0.250 0.250
0.750 0.750 0.750
```

Calculated values
calculated total energy	-8.062	eV per atom
E_form	2.59	kcal/mol of atoms

No. 6
Entry from the Alexandria database: a relaxed TaTl2Br crystal (PBE).

POSCAR file:
```
TaTl2Br
1.0
4.382 0.000 0.000
0.000 4.382 0.000
0.000 0.000 22.406
Ta Tl Br
4 8 4
Direct
0.000 0.000 0.000
0.000 0.500 0.250
0.500 0.000 0.750
0.500 0.500 0.500
0.240 0.250 0.125
0.250 0.740 0.375
0.250 0.760 0.875
0.260 0.250 0.625
0.740 0.750 0.625
0.750 0.240 0.875
0.750 0.260 0.375
0.760 0.750 0.125
0.000 0.000 0.500
0.000 0.500 0.750
0.500 0.000 0.250
0.500 0.500 0.000
```

Calculated values
calculated total energy	-3.650	eV per atom
relative energy among the computed polymorphs	850	meV/atom
energy relative to the elements, uncorrected	0.914	eV per atom

No. 7
Entry from the Alexandria database: a relaxed Zn5Cd3Ga12 crystal (PBE).

POSCAR file:
```
Zn5Cd3Ga12
1.0
-7.691 7.691 7.691
7.691 -7.691 7.691
7.691 7.691 -7.691
Zn Cd Ga
20 12 48
Direct
0.000 0.000 0.000
0.000 0.000 0.500
0.000 0.500 0.000
0.000 0.500 0.500
0.125 0.750 0.875
0.125 0.875 0.250
0.250 0.125 0.875
0.250 0.625 0.375
0.375 0.250 0.625
0.375 0.625 0.750
0.500 0.000 0.000
0.500 0.000 0.500
0.500 0.500 0.000
0.500 0.500 0.500
0.625 0.375 0.250
0.625 0.750 0.375
0.750 0.375 0.625
0.750 0.875 0.125
0.875 0.125 0.750
0.875 0.250 0.125
0.125 0.250 0.375
0.125 0.375 0.750
0.250 0.375 0.125
0.250 0.875 0.625
0.375 0.125 0.250
0.375 0.750 0.125
0.625 0.250 0.875
0.625 0.875 0.750
0.750 0.125 0.375
0.750 0.625 0.875
0.875 0.625 0.250
0.875 0.750 0.625
0.057 0.223 0.132
0.057 0.334 0.925
0.075 0.632 0.409
0.075 0.943 0.666
0.091 0.723 0.666
0.091 0.868 0.425
0.132 0.057 0.223
0.132 0.575 0.909
0.166 0.223 0.591
0.166 0.443 0.575
0.223 0.132 0.057
0.223 0.591 0.166
0.277 0.334 0.909
0.277 0.443 0.368
0.334 0.909 0.277
0.334 0.925 0.057
0.368 0.277 0.443
0.368 0.591 0.925
0.409 0.075 0.632
0.409 0.834 0.777
0.425 0.091 0.868
0.425 0.834 0.557
0.443 0.368 0.277
0.443 0.575 0.166
0.557 0.425 0.834
0.557 0.632 0.723
0.575 0.166 0.443
0.575 0.909 0.132
0.591 0.166 0.223
0.591 0.925 0.368
0.632 0.409 0.075
0.632 0.723 0.557
0.666 0.075 0.943
0.666 0.091 0.723
0.723 0.557 0.632
0.723 0.666 0.091
0.777 0.409 0.834
0.777 0.868 0.943
0.834 0.557 0.425
0.834 0.777 0.409
0.868 0.425 0.091
0.868 0.943 0.777
0.909 0.132 0.575
0.909 0.277 0.334
0.925 0.057 0.334
0.925 0.368 0.591
0.943 0.666 0.075
0.943 0.777 0.868
```

Calculated values
calculated total energy	-2.069	eV per atom
E_form	4.68	kcal/mol of atoms

No. 8
Entry from the Alexandria database: a relaxed Na5Cd4Bi2 crystal (PBE).

POSCAR file:
```
Na5Cd4Bi2
1.0
5.608 -3.256 0.000
5.608 3.256 0.000
-3.705 0.000 8.515
Na Cd Bi
5 4 2
Direct
0.000 0.000 0.000
0.113 0.598 0.318
0.402 0.887 0.682
0.598 0.113 0.318
0.887 0.402 0.682
0.119 0.119 0.381
0.315 0.315 0.999
0.685 0.685 0.001
0.881 0.881 0.619
0.398 0.398 0.703
0.602 0.602 0.297
```

Calculated values
calculated total energy	-1.767	eV per atom
E_form	-2.99	kcal/mol of atoms

No. 9
Entry from the Alexandria database: a relaxed Pm2MgZn2Ag5 crystal (PBE).

POSCAR file:
```
Pm2MgZn2Ag5
1.0
10.062 0.000 0.000
0.000 10.062 0.000
0.000 0.000 4.132
Pm Mg Zn Ag
4 2 4 10
Direct
0.178 0.322 0.000
0.322 0.822 0.000
0.678 0.178 0.000
0.822 0.678 0.000
0.000 0.000 0.000
0.500 0.500 0.000
0.118 0.618 0.000
0.382 0.118 0.000
0.618 0.882 0.000
0.882 0.382 0.000
0.000 0.500 0.500
0.057 0.795 0.500
0.205 0.057 0.500
0.295 0.557 0.500
0.443 0.295 0.500
0.500 0.000 0.500
0.557 0.705 0.500
0.705 0.443 0.500
0.795 0.943 0.500
0.943 0.205 0.500
```

Calculated values
calculated total energy	-2.993	eV per atom
E_form	-4.68	kcal/mol of atoms

No. 10
Entry from the Alexandria database: a relaxed PaBiMo crystal (PBE).

POSCAR file:
```
PaBiMo
1.0
3.424 0.000 0.000
0.000 3.424 0.000
0.000 0.000 11.858
Pa Bi Mo
2 2 2
Direct
0.000 0.000 0.000
0.500 0.500 0.500
0.000 0.000 0.288
0.500 0.500 0.788
0.000 0.000 0.645
0.500 0.500 0.145
```

Calculated values
calculated total energy	-7.896	eV per atom
E_form	3.99	kcal/mol of atoms

No. 11
Entry from the Alexandria database: a relaxed AcTh5Pt6 crystal (PBE).

POSCAR file:
```
AcTh5Pt6
1.0
3.623 -6.504 0.000
3.623 6.504 0.000
-2.547 0.000 6.805
Ac Th Pt
1 5 6
Direct
0.000 0.000 0.000
0.165 0.835 0.500
0.332 0.668 0.000
0.500 0.500 0.500
0.668 0.332 0.000
0.835 0.165 0.500
0.086 0.430 0.256
0.259 0.259 0.745
0.430 0.086 0.256
0.570 0.914 0.744
0.741 0.741 0.255
0.914 0.570 0.744
```

Calculated values
calculated total energy	-7.642	eV per atom
E_form	-27.39	kcal/mol of atoms

No. 12
Entry from the Alexandria database: a relaxed AcSi2Sb crystal (PBE).

POSCAR file:
```
AcSi2Sb
1.0
4.714 0.000 0.000
0.000 4.714 0.000
0.000 0.000 4.419
Ac Si Sb
1 2 1
Direct
0.000 0.000 0.000
0.000 0.500 0.500
0.500 0.000 0.500
0.500 0.500 0.000
```

Calculated values
calculated total energy	-4.911	eV per atom
energy relative to the elements, uncorrected	-0.142	eV per atom